This record from the Open Quantum Materials Database describes a geometry-optimized Sm3Al3Ni2Ge structure. The functional is PBE.

Calculated values
energy: -4.696 eV/atom
SG: P-62m, No. 189

POSCAR file:
```
Sm3Al3Ni2Ge
1.0
8.104 0.000 0.000
-4.052 7.018 0.000
0.000 0.000 3.245
Sm Al Ni Ge
3 3 2 1
direct
0.000 0.308 0.000
0.308 0.000 0.000
0.692 0.692 0.000
0.000 0.630 0.500
0.370 0.370 0.500
0.630 0.000 0.500
0.333 0.667 0.000
0.667 0.333 0.000
0.000 0.000 0.500
```